Compound: Pm4Dy3ScS8
Source: Alexandria
Functional: PBE
Structure: optimized geometry

Cell: 7.841 7.949 7.841 Å, 119.55 120.00 90.00°
Positions (direct):
Pm: 0.500 0.000 0.000
Pm: 0.500 0.000 0.500
Pm: 0.000 0.000 0.000
Pm: 0.000 0.000 0.500
Dy: 0.500 0.500 0.000
Dy: 0.500 0.500 0.500
Dy: 0.000 0.500 0.500
Sc: 0.000 0.500 0.000
S: 0.240 0.732 0.992
S: 0.240 0.732 0.480
S: 0.254 0.263 0.509
S: 0.752 0.732 0.992
S: 0.248 0.268 0.008
S: 0.746 0.737 0.491
S: 0.760 0.268 0.520
S: 0.760 0.268 0.008

Computed properties:
* E_form (uncorrected): -31.80 eV per formula unit
* total DFT energy (no corrections): -6.498 eV/atom
* magnetic moment: 0.00 μB/f.u.